Version 1
DFT (PBE-GGA) results for a geometry-optimized NaMg2As2 structure.

The calculation puts the density of states at the Fermi level at 1.91 states/eV per cell. As for the symmetry: No. 127.

a b c (Å): 8.145 8.145 3.153
angles (deg): 90.00 90.00 90.00
Fractional positions:
As (0.167, 0.667, 0.500)
Na (0.500, 0.500, 0.000)
Mg (0.130, 0.370, 0.000)
Na (0.000, 0.000, 0.000)
Mg (0.870, 0.630, 0.000)
As (0.333, 0.167, 0.500)
Mg (0.370, 0.870, 0.000)
As (0.833, 0.333, 0.500)
Mg (0.630, 0.130, 0.000)
As (0.667, 0.833, 0.500)

Version 2
DFT (PBE-GGA) results for a geometry-optimized NaMg2As2 structure.

The calculation puts the density of states at the Fermi level at 1.70 states/eV per cell. As for the symmetry: No. 127.

a b c (Å): 8.035 8.035 3.289
angles (deg): 90.00 90.00 90.00
Fractional positions:
As (0.163, 0.337, 0.000)
Mg (0.136, 0.636, 0.500)
As (0.663, 0.163, 0.000)
As (0.837, 0.663, 0.000)
Na (0.500, 0.500, 0.000)
As (0.337, 0.837, 0.000)
Mg (0.636, 0.864, 0.500)
Mg (0.364, 0.136, 0.500)
Na (0.000, 0.000, 0.000)
Mg (0.864, 0.364, 0.500)

Version 3
DFT (PBE-GGA) results for a geometry-optimized NaMg2As2 structure.

The calculation puts the density of states at the Fermi level at 2.41 states/eV per cell. As for the symmetry: No. 139.

a b c (Å): 4.465 4.465 6.715
angles (deg): 70.58 70.58 90.00
Fractional positions:
Mg (0.750, 0.250, 0.500)
As (0.378, 0.378, 0.245)
Mg (0.250, 0.750, 0.500)
As (0.622, 0.622, 0.755)
Na (0.000, 0.000, 0.000)

Sorted by energy, starting with the most stable: version 3, version 2, version 1.

Version 1
DFT (PBE-GGA) results for a geometry-optimized NaMgAs3 structure.

The calculation puts the density of states at the Fermi level at 3.17 states/eV per cell. As for the symmetry: No. 221.

a b c (Å): 5.059 5.059 5.059
angles (deg): 90.00 90.00 90.00
Fractional positions:
As (0.000, 0.000, 0.500)
As (0.000, 0.500, 0.000)
Mg (0.000, 0.000, 0.000)
Na (0.500, 0.500, 0.500)
As (0.500, 0.000, 0.000)

Version 2
DFT (PBE-GGA) results for a geometry-optimized NaMgAs3 structure.

The calculation puts the density of states at the Fermi level at 2.46 states/eV per cell. As for the symmetry: No. 221.

a b c (Å): 5.010 5.010 5.010
angles (deg): 90.00 90.00 90.00
Fractional positions:
Mg (0.500, 0.500, 0.500)
Na (0.000, 0.000, 0.000)
As (0.500, 0.000, 0.000)
As (0.000, 0.000, 0.500)
As (0.000, 0.500, 0.000)

Sorted by energy, starting with the most stable: version 1, version 2.

Version 1
DFT (PBE-GGA) results for a geometry-optimized NaMg3As structure.

The calculation puts the density of states at the Fermi level at 2.80 states/eV per cell. As for the symmetry: No. 221.

a b c (Å): 5.232 5.232 5.232
angles (deg): 90.00 90.00 90.00
Fractional positions:
Mg (0.500, 0.000, 0.000)
Mg (0.000, 0.500, 0.000)
Na (0.500, 0.500, 0.500)
Mg (0.000, 0.000, 0.500)
As (0.000, 0.000, 0.000)

Version 2
DFT (PBE-GGA) results for a geometry-optimized NaMg3As structure.

The calculation puts the density of states at the Fermi level at 2.49 states/eV per cell. As for the symmetry: No. 221.

a b c (Å): 5.176 5.176 5.176
angles (deg): 90.00 90.00 90.00
Fractional positions:
Na (0.000, 0.000, 0.000)
Mg (0.000, 0.500, 0.000)
Mg (0.500, 0.000, 0.000)
Mg (0.000, 0.000, 0.500)
As (0.500, 0.500, 0.500)

Sorted by energy, starting with the most stable: version 1, version 2.

Version 1
DFT (PBE-GGA) results for a geometry-optimized Na3MgAs structure.

The calculation puts the density of states at the Fermi level at 0.60 states/eV per cell. As for the symmetry: No. 221.

a b c (Å): 5.527 5.527 5.527
angles (deg): 90.00 90.00 90.00
Fractional positions:
Na (0.500, 0.000, 0.000)
Na (0.000, 0.000, 0.500)
Mg (0.000, 0.000, 0.000)
Na (0.000, 0.500, 0.000)
As (0.500, 0.500, 0.500)

Version 2
DFT (PBE-GGA) results for a geometry-optimized Na3MgAs structure.

The calculation puts the density of states at the Fermi level at 0.01 states/eV per cell. As for the symmetry: No. 221.

a b c (Å): 5.609 5.609 5.609
angles (deg): 90.00 90.00 90.00
Fractional positions:
Na (0.000, 0.000, 0.500)
Mg (0.500, 0.500, 0.500)
Na (0.000, 0.500, 0.000)
As (0.000, 0.000, 0.000)
Na (0.500, 0.000, 0.000)

Sorted by energy, starting with the most stable: version 2, version 1.